[1]
The following is a PBE calculation of an optimized crystal structure of TlAgCl3, from Alexandria via LeMat-Bulk.

For the density of states at the Fermi level, the calculation gives 1.24 states/eV/f.u. The value obtained for the energy is -27.41 eV/cell. The raw formation energy comes out at -2.9 eV per formula unit. Its space group is No. 11.

```
TlAgCl3
1.0
4.7189 0.0000 1.8930
0.0000 8.3267 0.0000
-0.3218 0.0000 7.5470
Cl Tl Ag
6 2 2
Direct
0.5873 0.7500 0.8237
0.8728 0.9660 0.2573
0.4127 0.2500 0.1763
0.1272 0.4660 0.7427
0.8728 0.5340 0.2573
0.1272 0.0340 0.7427
0.6381 0.2500 0.7199
0.3619 0.7500 0.2801
0.8966 0.2500 0.2092
0.1034 0.7500 0.7908
```



[2]
The following is a PBE calculation of an optimized crystal structure of Tl3AgCl4, from Alexandria via LeMat-Bulk.

For the density of states at the Fermi level, the calculation gives 0.00 states/eV/f.u. The value obtained for the energy is -48.20 eV/cell. The raw formation energy comes out at -6.8 eV per formula unit. Its space group is No. 31.

```
Tl3AgCl4
1.0
6.3749 0.0000 0.0000
0.0000 9.5814 0.0000
0.0000 0.0000 9.2530
Cl Tl Ag
8 6 2
Direct
0.5733 0.6778 0.7510
0.0733 0.3222 0.2510
0.0733 0.3222 0.7490
0.5665 0.0659 0.5000
0.5733 0.6778 0.2490
0.0868 0.7643 0.5000
0.0665 0.9341 0.0000
0.5868 0.2357 0.0000
0.5642 0.3473 0.7055
0.5642 0.3473 0.2945
0.5623 0.9078 0.0000
0.0642 0.6527 0.2055
0.0623 0.0922 0.5000
0.0642 0.6527 0.7945
0.5246 0.7947 0.5000
0.0246 0.2053 0.0000
```



[3]
The following is a PBE calculation of an optimized crystal structure of TlAg2Cl, from Alexandria via LeMat-Bulk.

For the energy above the lowest structure with this stoichiometry, the calculation gives 125 meV per atom. For the density of states at the Fermi level, the calculation gives 0.59 states/eV/f.u. The value obtained for the energy is -10.02 eV/cell. The raw formation energy comes out at -0.1 eV per formula unit. Its space group is No. 123.

```
TlAg2Cl
1.0
-2.4507 1.2273 -2.7390
0.4036 -3.3674 -1.8700
-4.7766 -2.3590 3.2169
Cl Ag Tl
1 2 1
Direct
0.5000 0.5000 0.2500
0.0000 0.0000 0.9793
0.0000 0.0000 0.5207
0.5000 0.5000 0.7500
```



[4]
The following is a PBE calculation of an optimized crystal structure of TlAgCl2, from Alexandria via LeMat-Bulk.

For the density of states at the Fermi level, the calculation gives 0.00 states/eV/f.u. The value obtained for the energy is -47.37 eV/cell. The raw formation energy comes out at -2.9 eV per formula unit. Its space group is No. 62.

```
TlAgCl2
1.0
-0.3715 4.0575 -1.4375
-3.8401 1.8131 6.1101
12.0774 3.4340 6.5715
Cl Tl Ag
8 4 4
Direct
0.7500 0.1156 0.7468
0.7500 0.7253 0.0253
0.7500 0.2253 0.4747
0.2500 0.2747 0.9747
0.7500 0.6156 0.7532
0.2500 0.8844 0.2532
0.2500 0.7747 0.5253
0.2500 0.3844 0.2468
0.7500 0.6198 0.3583
0.7500 0.1198 0.1417
0.2500 0.3802 0.6417
0.2500 0.8802 0.8583
0.7500 0.4014 0.8951
0.2500 0.0986 0.3951
0.7500 0.9014 0.6049
0.2500 0.5986 0.1049
```



[5]
The following is a PBE calculation of an optimized crystal structure of TlAgCl6, from Alexandria via LeMat-Bulk.

For the energy above the lowest structure with this stoichiometry, the calculation gives 6 meV per atom. The value obtained for the energy is -19.49 eV/cell. The raw formation energy comes out at -3.2 eV per formula unit. Its space group is No. 2.

```
TlAgCl6
1.0
-0.1412 -2.5787 5.2664
3.5305 -8.0179 1.4020
6.8308 -2.1900 3.6527
Tl Cl Ag
1 6 1
Direct
0.0000 0.0000 0.0000
0.8865 0.6165 0.2241
0.1996 0.8431 0.3635
0.5847 0.1905 0.1521
0.8004 0.1569 0.6365
0.1135 0.3835 0.7759
0.4153 0.8095 0.8479
0.5000 0.5000 0.5000
```



[6]
The following is a PBE calculation of an optimized crystal structure of TlAgCl2, from Alexandria via LeMat-Bulk.

For the density of states at the Fermi level, the calculation gives 0.00 states/eV/f.u. The value obtained for the energy is -11.71 eV/cell. The raw formation energy comes out at -2.8 eV per formula unit. Its space group is No. 6.

```
TlAgCl2
1.0
-4.1962 -0.0761 1.5329
-0.5053 -4.2616 -1.5947
2.0894 -2.8259 5.5793
Cl Tl Ag
2 1 1
Direct
0.5000 0.1829 0.4278
0.0000 0.7313 0.9125
0.0000 0.6727 0.3814
0.5000 0.9131 0.7782
```



[7]
The following is a PBE calculation of an optimized crystal structure of TlAgCl2, from Alexandria via LeMat-Bulk.

For the density of states at the Fermi level, the calculation gives 0.00 states/eV/f.u. The value obtained for the energy is -10.77 eV/cell. The raw formation energy comes out at -1.9 eV per formula unit. Its space group is No. 166.

```
TlAgCl2
1.0
2.4089 0.0000 8.5540
-1.2044 2.0861 8.5540
-1.2044 -2.0861 8.5540
Ag Tl Cl
1 1 2
Direct
0.5000 0.5000 0.5000
0.0000 0.0000 0.0000
0.8892 0.8892 0.8892
0.1108 0.1108 0.1108
```



[8]
The following is a PBE calculation of an optimized crystal structure of TlAgCl2, from Alexandria via LeMat-Bulk.

For the density of states at the Fermi level, the calculation gives 0.00 states/eV/f.u. The value obtained for the energy is -11.07 eV/cell. The raw formation energy comes out at -2.2 eV per formula unit. Its space group is No. 225.

```
TlAgCl2
1.0
0.0000 3.6738 3.6738
3.6738 0.0000 3.6738
3.6738 3.6738 0.0000
Tl Cl Ag
1 2 1
Direct
0.5000 0.5000 0.5000
0.2500 0.2500 0.2500
0.7500 0.7500 0.7500
0.0000 0.0000 0.0000
```



[9]
The following is a PBE calculation of an optimized crystal structure of Tl2Ag3Cl5, from Alexandria via LeMat-Bulk.

For the density of states at the Fermi level, the calculation gives 0.00 states/eV/f.u. The value obtained for the energy is -29.17 eV/cell. The raw formation energy comes out at -6.6 eV per formula unit. Its space group is No. 12.

```
Tl2Ag3Cl5
1.0
4.1783 0.0000 0.9272
1.6857 6.9249 2.2817
0.1670 -0.8124 9.1258
Ag Tl Cl
3 2 5
Direct
0.8916 0.3509 0.8659
0.5000 0.5000 0.5000
0.1084 0.6491 0.1341
0.3299 0.0745 0.2657
0.6701 0.9255 0.7343
0.9085 0.7593 0.4237
0.0000 0.0000 0.0000
0.3170 0.5584 0.8075
0.0915 0.2407 0.5763
0.6830 0.4416 0.1925
```



[10]
The following is a PBE calculation of an optimized crystal structure of TlAgCl2, from Alexandria via LeMat-Bulk.

The value obtained for the energy is -11.35 eV/cell. The raw formation energy comes out at -2.4 eV per formula unit. Its space group is No. 65.

```
TlAgCl2
1.0
-2.7362 -2.7170 -0.1715
3.5104 -1.3325 -0.8942
1.2635 -1.7501 7.5676
Ag Cl Tl
1 2 1
Direct
0.5000 0.5000 0.7500
0.0000 0.0000 0.5326
0.0000 0.0000 0.9674
0.5000 0.5000 0.2500
```



[11]
The following is a PBE calculation of an optimized crystal structure of TlAg2Cl8, from Alexandria via LeMat-Bulk.

For the density of states at the Fermi level, the calculation gives 6.99 states/eV/f.u. The value obtained for the energy is -26.74 eV/cell. The raw formation energy comes out at -3.9 eV per formula unit. Its space group is No. 12.

```
TlAg2Cl8
1.0
-0.4146 3.2165 6.1557
2.1611 -5.0947 5.4071
6.8882 3.2478 1.3663
Cl Ag Tl
8 2 1
Direct
0.1566 0.4528 0.4528
0.8434 0.5472 0.5472
0.6611 0.2277 0.2277
0.1878 0.2565 0.9220
0.1878 0.9220 0.2565
0.8122 0.7435 0.0780
0.3389 0.7723 0.7723
0.8122 0.0780 0.7435
0.3787 0.1555 0.1555
0.6213 0.8445 0.8445
0.0000 0.0000 0.0000
```



[12]
The following is a PBE calculation of an optimized crystal structure of TlAgCl3, from Alexandria via LeMat-Bulk.

For the density of states at the Fermi level, the calculation gives 0.20 states/eV/f.u. The value obtained for the energy is -27.86 eV/cell. The raw formation energy comes out at -3.2 eV per formula unit. Its space group is No. 2.

```
TlAgCl3
1.0
4.7634 -0.4904 -0.0212
1.0151 8.5658 0.1096
-1.4586 0.9296 7.7614
Ag Cl Tl
2 6 2
Direct
0.8784 0.9574 0.3661
0.3785 0.4574 0.3660
0.1511 0.4898 0.0675
0.0148 0.8791 0.6702
0.1757 0.1926 0.4101
0.7417 0.0355 0.0618
0.5808 0.7222 0.3219
0.6057 0.4248 0.6645
0.1651 0.2044 0.8311
0.5918 0.7102 0.9007
```



[13]
The following is a PBE calculation of an optimized crystal structure of Tl4Ag3Cl10, from Alexandria via LeMat-Bulk.

For the density of states at the Fermi level, the calculation gives 6.15 states/eV/f.u. The value obtained for the energy is -48.08 eV/cell. The raw formation energy comes out at -11.6 eV per formula unit. Its space group is No. 139.

```
Tl4Ag3Cl10
1.0
-4.8094 1.7607 -0.0296
-1.6489 -4.4727 1.8728
5.4108 7.5980 15.9063
Cl Ag Tl
10 3 4
Direct
0.0703 0.0703 0.1407
0.3605 0.8605 0.7210
0.8605 0.3605 0.7210
0.7867 0.7867 0.5734
0.1395 0.6395 0.2790
0.6395 0.1395 0.2790
0.9297 0.9297 0.8593
0.0000 0.5000 0.0000
0.2133 0.2133 0.4266
0.5000 0.0000 0.0000
0.8581 0.8581 0.7163
0.0000 0.0000 0.0000
0.1419 0.1419 0.2837
0.5687 0.5687 0.1375
0.4313 0.4313 0.8625
0.2985 0.2985 0.5970
0.7015 0.7015 0.4030
```



[14]
The following is a PBE calculation of an optimized crystal structure of TlAgCl2, from Alexandria via LeMat-Bulk.

For the density of states at the Fermi level, the calculation gives 0.00 states/eV/f.u. The value obtained for the energy is -11.59 eV/cell. The raw formation energy comes out at -2.7 eV per formula unit. Its space group is No. 8.

```
TlAgCl2
1.0
-2.6141 2.2558 -7.2842
-1.0049 -1.2949 -7.8927
-3.8855 -1.5988 -0.9461
Cl Tl Ag
2 1 1
Direct
0.9382 0.9382 0.0503
0.7033 0.7033 0.6740
0.5440 0.5440 0.4121
0.3144 0.3144 0.3636
```



[15]
The following is a PBE calculation of an optimized crystal structure of Tl5AgCl8, from Alexandria via LeMat-Bulk.

The value obtained for the energy is -40.91 eV/cell. The raw formation energy comes out at -11.5 eV per formula unit. Its space group is No. 216.

```
Tl5AgCl8
1.0
8.8777 0.0000 0.0000
4.4389 7.6883 0.0000
4.4389 2.5628 7.2486
Cl Ag Tl
8 1 5
Direct
0.8859 0.8859 0.3424
0.3733 0.3733 0.3733
0.3424 0.8859 0.8859
0.8859 0.8859 0.8859
0.8859 0.3424 0.8859
0.3733 0.3733 0.8801
0.8801 0.3733 0.3733
0.3733 0.8801 0.3733
0.2500 0.2500 0.2500
0.6195 0.6195 0.1414
0.0000 0.0000 0.0000
0.6195 0.6195 0.6195
0.1414 0.6195 0.6195
0.6195 0.1414 0.6195
```



[16]
The following is a PBE calculation of an optimized crystal structure of TlAg4Cl7, from Alexandria via LeMat-Bulk.

For the density of states at the Fermi level, the calculation gives 1.07 states/eV/f.u. The value obtained for the energy is -32.60 eV/cell. The raw formation energy comes out at -5.9 eV per formula unit. Its space group is No. 8.

```
TlAg4Cl7
1.0
-3.8976 0.5567 0.0935
1.2689 -4.1526 -5.3212
-0.6604 -6.5390 11.4068
Cl Ag Tl
7 4 1
Direct
0.0486 0.0972 0.7609
0.9483 0.8966 0.2236
0.7417 0.4835 0.3679
0.3359 0.6719 0.9403
0.2808 0.5617 0.6142
0.6421 0.2842 0.0607
0.5073 0.0146 0.4992
0.9940 0.9880 0.0413
0.3017 0.6034 0.1465
0.6851 0.3702 0.8737
0.1159 0.2318 0.4091
0.8985 0.7970 0.5627
```



[17]
The following is a PBE calculation of an optimized crystal structure of TlAg3Cl, from Alexandria via LeMat-Bulk.

For the energy above the lowest structure with this stoichiometry, the calculation gives 0 meV per atom. For the density of states at the Fermi level, the calculation gives 2.92 states/eV/f.u. The value obtained for the energy is -10.63 eV/cell. The raw formation energy comes out at 2.1 eV per formula unit. Its space group is No. 221.

```
TlAg3Cl
1.0
5.1170 0.0000 0.0000
0.0000 5.1170 0.0000
0.0000 0.0000 5.1170
Cl Ag Tl
1 3 1
Direct
0.0000 0.0000 0.0000
0.5000 0.0000 0.0000
0.0000 0.5000 0.0000
0.0000 0.0000 0.5000
0.5000 0.5000 0.5000
```



[18]
The following is a PBE calculation of an optimized crystal structure of TlAgCl, from Alexandria via LeMat-Bulk.

For the energy above the lowest structure with this stoichiometry, the calculation gives 32 meV per atom. For the density of states at the Fermi level, the calculation gives 0.82 states/eV/f.u. The value obtained for the energy is -7.79 eV/cell. The raw formation energy comes out at -0.7 eV per formula unit. Its space group is No. 107.

```
TlAgCl
1.0
-0.7770 6.0945 1.9110
-4.8772 4.1902 -0.2308
2.0331 -5.9436 1.3923
Cl Ag Tl
1 1 1
Direct
0.3679 0.3679 0.0000
0.9854 0.9854 0.0000
0.6467 0.6467 0.0000
```



[19]
The following is a PBE calculation of an optimized crystal structure of TlAgCl2, from Alexandria via LeMat-Bulk.

For the density of states at the Fermi level, the calculation gives 0.00 states/eV/f.u. The value obtained for the energy is -11.73 eV/cell. The raw formation energy comes out at -2.8 eV per formula unit. Its space group is No. 166.

```
TlAgCl2
1.0
2.7971 0.0000 7.9709
-1.3985 2.4223 7.9709
-1.3985 -2.4223 7.9709
Cl Tl Ag
2 1 1
Direct
0.9018 0.9018 0.9018
0.0982 0.0982 0.0982
0.5000 0.5000 0.5000
0.0000 0.0000 0.0000
```



[20]
The following is a PBE calculation of an optimized crystal structure of TlAgCl2, from Alexandria via LeMat-Bulk.

For the density of states at the Fermi level, the calculation gives 0.00 states/eV/f.u. The value obtained for the energy is -11.71 eV/cell. The raw formation energy comes out at -2.8 eV per formula unit. Its space group is No. 12.

```
TlAgCl2
1.0
4.2736 -0.0669 -0.0239
2.3238 3.5873 -0.0239
2.3081 1.2316 7.0103
Cl Tl Ag
2 1 1
Direct
0.9754 0.9754 0.0438
0.5246 0.5246 0.4562
0.7500 0.7500 0.7500
0.2500 0.2500 0.2500
```



[21]
The following is a PBE calculation of an optimized crystal structure of TlAgCl3, from Alexandria via LeMat-Bulk.

For the density of states at the Fermi level, the calculation gives 0.57 states/eV/f.u. The value obtained for the energy is -27.45 eV/cell. The raw formation energy comes out at -3.0 eV per formula unit. Its space group is No. 167.

```
TlAgCl3
1.0
4.1318 0.0000 6.6419
-2.0659 3.5783 6.6419
-2.0659 -3.5783 6.6419
Cl Ag Tl
6 2 2
Direct
0.1028 0.3972 0.7500
0.8972 0.6028 0.2500
0.6028 0.2500 0.8972
0.7500 0.1028 0.3972
0.2500 0.8972 0.6028
0.3972 0.7500 0.1028
0.7500 0.7500 0.7500
0.2500 0.2500 0.2500
0.5000 0.5000 0.5000
0.0000 0.0000 0.0000
```



[22]
The following is a PBE calculation of an optimized crystal structure of TlAg2Cl5, from Alexandria via LeMat-Bulk.

For the density of states at the Fermi level, the calculation gives 0.60 states/eV/f.u. The value obtained for the energy is -43.21 eV/cell. The raw formation energy comes out at -4.3 eV per formula unit. Its space group is No. 63.

```
TlAg2Cl5
1.0
-3.0520 -3.2406 -3.3504
3.4252 -3.7182 5.1088
-9.9955 1.4180 7.7337
Cl Ag Tl
10 4 2
Direct
0.6658 0.3317 0.9065
0.6658 0.3317 0.5935
0.0633 0.1266 0.3856
0.9367 0.8734 0.8856
0.2520 0.5041 0.7500
0.7480 0.4959 0.2500
0.9367 0.8734 0.6144
0.3342 0.6683 0.0935
0.3342 0.6683 0.4065
0.0633 0.1266 0.1144
0.8586 0.7172 0.4272
0.1414 0.2828 0.5728
0.8586 0.7172 0.0728
0.1414 0.2828 0.9272
0.7912 0.5824 0.7500
0.2088 0.4176 0.2500
```



[23]
The following is a PBE calculation of an optimized crystal structure of TlAgCl2, from Alexandria via LeMat-Bulk.

For the density of states at the Fermi level, the calculation gives 0.00 states/eV/f.u. The value obtained for the energy is -11.67 eV/cell. The raw formation energy comes out at -2.8 eV per formula unit. Its space group is No. 160.

```
TlAgCl2
1.0
7.6020 -0.0026 -0.0016
6.4641 4.0009 -0.0016
6.4641 1.8374 3.5540
Tl Ag Cl
1 1 2
Direct
0.4991 0.4991 0.4991
0.6665 0.6665 0.6665
0.2654 0.2654 0.2654
0.0690 0.0690 0.0690
```



[24]
The following is a PBE calculation of an optimized crystal structure of TlAgCl2, from Alexandria via LeMat-Bulk.

For the density of states at the Fermi level, the calculation gives 0.00 states/eV/f.u. The value obtained for the energy is -11.57 eV/cell. The raw formation energy comes out at -2.7 eV per formula unit. Its space group is No. 99.

```
TlAgCl2
1.0
3.8872 0.0000 0.0000
0.0000 3.8922 0.0000
0.0000 0.0000 7.8480
Cl Tl Ag
2 1 1
Direct
0.0000 0.0000 0.8904
0.5000 0.5000 0.4830
0.0000 0.0000 0.3063
0.5000 0.5000 0.8203
```